Ba3Cd2Ag4 | PBE | relaxed

symmetry: No. 12
formation energy from the elements: -0.2880 eV/atom
magnetic moment: 0.00 μB per cell

Geometry as CIF:
```
data_Ba3Cd2Ag4
_chemical_formula_sum 'Ba3 Cd2 Ag4'
_cell_length_a 6.692
_cell_length_b 6.692
_cell_length_c 9.710
_cell_angle_alpha 106.06
_cell_angle_beta 106.06
_cell_angle_gamma 43.61
_space_group_name_H-M_alt 'P 1'
_space_group_IT_number 1
_space_group_name_Hall 'P 1'
loop_
_atom_site_label
_atom_site_fract_x
_atom_site_fract_y
_atom_site_fract_z
Ba1 0.000 0.000 0.000
Ba2 0.340 0.340 0.326
Ba3 0.660 0.660 0.674
Cd1 0.379 0.379 0.713
Cd2 0.621 0.621 0.287
Ag1 0.064 0.064 0.398
Ag2 0.279 0.279 0.945
Ag3 0.721 0.721 0.055
Ag4 0.936 0.936 0.602
```